The following is a DFT calculation (PBE+U) of a relaxed structure of AcHfVO6.

Lattice parameters (Å, degrees): 5.339 5.298 5.298 120.00 90.00 90.00
Atoms (fractional coordinates):
O (0.706, 0.968, 0.279)
O (0.294, 0.968, 0.689)
O (0.706, 0.311, 0.032)
O (0.294, 0.311, 0.279)
O (0.706, 0.721, 0.689)
O (0.294, 0.721, 0.032)
Hf (0.500, 0.667, 0.333)
V (0.500, 0.000, 0.000)
Ac (0.000, 0.333, 0.667)

Properties
The calculation puts the spin magnetization at 0.00 μB/cell. Its crystal system is trigonal. Its space group is P312. The value obtained for the volume is 14.421 A^3/atom. The value obtained for the total energy is -8.595 eV per atom.